Record 1
This record from the Alexandria database describes Zr4AlZn after structural relaxation. The functional is PBE-GGA.

```
Zr4AlZn
1.0
-2.2164 0.9576 -5.0116
-2.3724 -2.7835 4.1915
0.3098 5.1435 2.0961
Zr Zn Al
4 1 1
direct
0.4021 0.5979 0.5000 Zr
0.9021 0.4021 0.8042 Zr
0.0979 0.9021 0.5000 Zr
0.5979 0.0979 0.1958 Zr
0.0000 0.0000 0.0000 Zn
0.5000 0.5000 0.0000 Al
```

Summary:
excess energy over the best structure of this formula in the dataset: 0.000 eV/atom
E_form: -0.2473 eV/atom

---

Record 2
This record from the Alexandria database describes LiGePt4 after structural relaxation. The functional is PBE-GGA.

```
LiGePt4
1.0
-0.3024 -4.8534 2.3828
1.8617 1.8186 3.9248
-6.5152 3.9599 1.0738
Pt Li Ge
8 2 2
direct
0.0162 0.9476 0.3145 Pt
0.9838 0.0524 0.6855 Pt
0.7025 0.5525 0.6850 Pt
0.7122 0.4216 0.1683 Pt
0.5440 0.0787 0.8314 Pt
0.2878 0.5784 0.8317 Pt
0.4560 0.9213 0.1686 Pt
0.2975 0.4475 0.3150 Pt
0.0582 0.2501 0.0002 Li
0.9418 0.7499 0.9998 Li
0.5000 0.0000 0.5000 Ge
0.0000 0.5000 0.5000 Ge
```

Summary:
E_form: -0.3452 eV/atom

---

Record 3
This record from the Alexandria database describes MgZrCu2 after structural relaxation. The functional is PBE-GGA.

```
MgZrCu2
1.0
-5.3890 -6.5714 3.4796
-2.8518 -8.0950 3.2665
-3.3724 -6.4060 5.6500
Cu Mg Zr
2 1 1
direct
0.5024 0.5024 0.5024 Cu
0.9976 0.9976 0.9976 Cu
0.2500 0.2500 0.2500 Mg
0.7500 0.7500 0.7500 Zr
```

Summary:
E_form: 0.1112 eV/atom

---

Record 4
This record from the Alexandria database describes BaGeSb2I after structural relaxation. The functional is PBE-GGA.

```
BaGeSb2I
1.0
6.5212 0.0000 0.0000
0.0000 6.5212 0.0000
0.0000 0.0000 6.4195
Sb Ba I Ge
2 1 1 1
direct
0.5000 0.0000 0.0000 Sb
0.0000 0.5000 0.0000 Sb
0.0000 0.0000 0.0000 Ba
0.0000 0.0000 0.5000 I
0.5000 0.5000 0.5000 Ge
```

Summary:
excess energy over the best structure of this formula in the dataset: 1.055 eV/atom
raw formation energy: 74.9 kJ per mole of atoms

---

Record 5
This record from the Alexandria database describes ZrTiNbIn after structural relaxation. The functional is PBE-GGA.

```
ZrTiNbIn
1.0
-1.7236 3.3419 3.0110
0.9131 -0.3095 4.7197
2.9992 3.1411 2.0841
In Nb Ti Zr
1 1 1 1
direct
0.0000 0.0000 0.0000 In
0.5000 0.5000 0.5000 Nb
0.2500 0.2500 0.2500 Ti
0.7500 0.7500 0.7500 Zr
```

Summary:
E_form: -0.0648 eV/atom

---

Record 6
This record from the Alexandria database describes CaMgCd5 after structural relaxation. The functional is PBE-GGA.

```
CaMgCd5
1.0
2.9737 -4.6551 0.0000
2.9737 4.6551 0.0000
0.0000 0.0000 6.5410
Cd Mg Ca
5 1 1
direct
0.0000 0.0000 0.5000 Cd
0.0000 0.5000 0.7458 Cd
0.5000 0.0000 0.2542 Cd
0.5000 0.0000 0.7458 Cd
0.0000 0.5000 0.2542 Cd
0.5000 0.5000 0.5000 Mg
0.0000 0.0000 0.0000 Ca
```

Summary:
E_form: -0.0944 eV/atom

---

Record 7
This record from the Alexandria database describes Bi2PdPb after structural relaxation. The functional is PBE-GGA.

```
Bi2PdPb
1.0
-0.1279 2.4883 -3.4281
-4.8866 1.2569 3.6218
4.6712 6.0366 4.2075
Bi Pd Pb
4 2 2
direct
0.6444 0.2853 0.4507 Bi
0.3556 0.7147 0.9507 Bi
0.3556 0.7147 0.5493 Bi
0.6444 0.2853 0.0493 Bi
0.7622 0.5230 0.7500 Pd
0.2378 0.4770 0.2500 Pd
0.0713 0.1350 0.7500 Pb
0.9287 0.8650 0.2500 Pb
```

Summary:
E_form: -0.1608 eV/atom

---

Record 8
This record from the Alexandria database describes SrCe2I6 after structural relaxation. The functional is PBE-GGA.

```
SrCe2I6
1.0
-0.5580 3.1181 -3.1525
-2.9033 -7.6842 -3.9188
-8.4971 4.3754 5.8316
I Ce Sr
6 2 1
direct
0.6420 0.2841 0.5505 I
0.6853 0.3706 0.1495 I
0.3147 0.6295 0.8505 I
0.0423 0.0846 0.8104 I
0.3580 0.7160 0.4495 I
0.9577 0.9155 0.1896 I
0.3145 0.6290 0.1361 Ce
0.6855 0.3710 0.8639 Ce
0.0000 0.0000 0.5000 Sr
```

Summary:
raw formation energy: -132.8 kJ per mole of atoms